[1]
VASP calculation (PBE) on a geometry-optimized CrMoP2 structure.

Unit cell a=5.9145 b=5.9145 c=5.9145 alpha=149.31 beta=149.10 gamma=44.11
Last column: nearest neighbours and their distance in Å.
Element x y z (fractional)
1 Mo 0.2925 0.7925 0.5000  6 P 2.43-2.46
2 P 0.7014 0.2014 0.5000  2 Cr 2.35, 4 Mo 2.43
3 P 0.9648 0.9648 0.0000  4 Cr 2.37, 2 Mo 2.46
4 Cr 0.5412 0.5412 0.0000  6 P 2.35-2.37

Properties
Crystal system: orthorhombic
Calculated formation energy in eV/atom: -0.528
Excess energy over the best structure of this formula in the dataset in kcal/mol of atoms: 0.000


[2]
VASP calculation (PBE) on a geometry-optimized AgMo2Au structure.

Unit cell a=5.2396 b=5.2396 c=5.2396 alpha=137.05 beta=137.05 gamma=62.37
Last column: nearest neighbours and their distance in Å.
Element x y z (fractional)
1 Au 0.7500 0.2500 0.5000  4 Ag 2.71, 8 Mo 2.95
2 Ag 0.2500 0.7500 0.5000  4 Au 2.71, 8 Mo 2.95
3 Mo 0.0000 0.0000 0.0000  4 Mo 2.71, 4 Ag 2.95, 4 Au 2.95
4 Mo 0.5000 0.5000 0.0000  4 Mo 2.71, 4 Au 2.95, 4 Ag 2.95

Properties
Crystal system: tetragonal
Calculated formation energy in eV/atom: 0.393
Excess energy over the best structure of this formula in the dataset in kcal/mol of atoms: 4.336


[3]
VASP calculation (PBE) on a geometry-optimized ZnCoIr2 structure.

Unit cell a=2.7231 b=2.7231 c=7.3001 alpha=90.00 beta=90.00 gamma=90.00
Last column: nearest neighbours and their distance in Å.
Element x y z (fractional)
1 Ir 0.0000 0.0000 0.9850  4 Co 2.58, 4 Ir 2.72, 4 Zn 2.73
2 Ir 0.0000 0.0000 0.5150  4 Co 2.58, 4 Ir 2.72, 4 Zn 2.73
3 Co 0.5000 0.5000 0.7500  8 Ir 2.58, 4 Co 2.72
4 Zn 0.5000 0.5000 0.2500  4 Zn 2.72, 8 Ir 2.73

Properties
Crystal system: tetragonal
Calculated formation energy in eV/atom: -0.009


[4]
VASP calculation (PBE) on a geometry-optimized ZnCoRh4 structure.

Unit cell a=5.0712 b=5.0712 c=5.0712 alpha=60.00 beta=60.00 gamma=60.00
Last column: nearest neighbours and their distance in Å.
Element x y z (fractional)
1 Co 0.0000 0.0000 0.0000  12 Rh 2.97, 4 Zn 3.11
2 Rh 0.3750 0.3750 0.3750  6 Rh 2.54
3 Rh 0.3750 0.3750 0.8750  6 Rh 2.54
4 Rh 0.3750 0.8750 0.3750  6 Rh 2.54
5 Rh 0.8750 0.3750 0.3750  6 Rh 2.54
6 Zn 0.7500 0.7500 0.7500  12 Rh 2.97, 4 Co 3.11

Properties
Crystal system: cubic
Calculated formation energy in eV/atom: 0.372


[5]
VASP calculation (PBE) on a geometry-optimized Tb5GaRu2 structure.

Unit cell a=7.6995 b=7.6995 c=8.5953 alpha=116.61 beta=116.61 gamma=90.00
Last column: nearest neighbours and their distance in Å.
Element x y z (fractional)
1 Ga 0.2500 0.2500 0.5000  10 Tb 3.26-3.33
2 Ga 0.7500 0.7500 0.5000  10 Tb 3.26-3.33
3 Tb 0.7985 0.9756 0.2740  3 Ru 2.83-2.96
4 Tb 0.7015 0.2015 0.7260  3 Ru 2.83-2.96
5 Tb 0.2015 0.0244 0.7260  3 Ru 2.83-2.96
6 Tb 0.5000 0.5000 0.0000  4 Ru 2.97, 2 Ga 3.33
7 Tb 0.2985 0.7985 0.2740  3 Ru 2.83-2.96
8 Tb 0.0244 0.5244 0.7260  3 Ru 2.83-2.96
9 Tb 0.4756 0.2985 0.2740  3 Ru 2.83-2.96
10 Tb 0.9756 0.4756 0.2740  3 Ru 2.83-2.96
11 Tb 0.5244 0.7015 0.7260  3 Ru 2.83-2.96
12 Tb 0.0000 0.0000 0.0000  4 Ru 2.97, 2 Ga 3.33
13 Ru 0.8599 0.6401 0.0000  8 Tb 2.83-2.97, 1 Ru 3.05
14 Ru 0.6401 0.1401 0.0000  8 Tb 2.83-2.97, 1 Ru 3.05
15 Ru 0.1401 0.3599 0.0000  8 Tb 2.83-2.97, 1 Ru 3.05
16 Ru 0.3599 0.8599 0.0000  8 Tb 2.83-2.97, 1 Ru 3.05

Properties
Crystal system: tetragonal
Calculated formation energy in eV/atom: -0.405


[6]
VASP calculation (PBE) on a geometry-optimized LaDy2Ag2 structure.

Unit cell a=3.6625 b=5.4029 c=13.8116 alpha=90.00 beta=97.58 gamma=90.00
Last column: nearest neighbours and their distance in Å.
Element x y z (fractional)
1 Dy 0.0472 0.7500 0.0945  8 Ag 3.07-3.27
2 Dy 0.9528 0.2500 0.9055  8 Ag 3.07-3.27
3 Dy 0.7656 0.2500 0.5316  2 Ag 3.12, 4 Dy 3.38
4 Dy 0.2344 0.7500 0.4684  2 Ag 3.12, 4 Dy 3.38
5 Ag 0.5426 0.2500 0.0852  6 Dy 3.07-3.27, 2 La 3.34
6 Ag 0.4574 0.7500 0.9148  6 Dy 3.07-3.27, 2 La 3.34
7 Ag 0.3575 0.2500 0.7159  4 Dy 3.12-3.18, 4 La 3.26
8 Ag 0.6425 0.7500 0.2841  4 Dy 3.12-3.18, 4 La 3.26
9 La 0.8550 0.7500 0.7105  6 Ag 3.26-3.34, 2 Dy 3.65
10 La 0.1450 0.2500 0.2895  6 Ag 3.26-3.34, 2 Dy 3.65

Properties
Crystal system: monoclinic
Calculated formation energy in eV/atom: -0.214
Excess energy over the best structure of this formula in the dataset in kcal/mol of atoms: 0.000


[7]
VASP calculation (PBE) on a geometry-optimized YZr2Ni structure.

Unit cell a=9.4974 b=9.4974 c=9.4974 alpha=20.32 beta=20.32 gamma=20.32
Last column: nearest neighbours and their distance in Å.
Element x y z (fractional)
1 Y 0.7500 0.7500 0.7500  6 Y 3.35, 6 Zr 3.44
2 Ni 0.2500 0.2500 0.2500  6 Zr 2.65
3 Zr 0.9814 0.9814 0.9814  3 Ni 2.65
4 Zr 0.5186 0.5186 0.5186  3 Ni 2.65

Properties
Crystal system: trigonal
Calculated formation energy in eV/atom: 0.059
Excess energy over the best structure of this formula in the dataset in kcal/mol of atoms: 5.090


[8]
VASP calculation (PBE) on a geometry-optimized YH3Ir structure.

Unit cell a=3.6877 b=3.6877 c=3.6877 alpha=90.00 beta=90.00 gamma=90.00
Last column: nearest neighbours and their distance in Å.
Element x y z (fractional)
1 Ir 0.0000 0.0000 0.0000  6 H 1.84
2 H 0.0000 0.0000 0.5000  2 Ir 1.84
3 H 0.0000 0.5000 0.0000  2 Ir 1.84
4 H 0.5000 0.0000 0.0000  2 Ir 1.84
5 Y 0.5000 0.5000 0.5000  12 H 2.61

Properties
Crystal system: cubic
E in eV/atom: -5.561


[9]
VASP calculation (PBE) on a geometry-optimized Th3Bi structure.

Unit cell a=3.9228 b=6.8586 c=10.0982 alpha=104.09 beta=90.00 gamma=90.00
Last column: nearest neighbours and their distance in Å.
Element x y z (fractional)
1 Th 0.2500 0.7332 0.6117  4 Bi 3.29-3.46, 2 Th 3.63
2 Th 0.7500 0.5627 0.8642  8 Th 3.26-3.64, 2 Bi 3.34
3 Th 0.7500 0.0927 0.8774  6 Th 3.26-3.64, 2 Bi 3.40
4 Th 0.2500 0.9073 0.1226  6 Th 3.26-3.64, 2 Bi 3.40
5 Th 0.2500 0.4373 0.1358  8 Th 3.26-3.64, 2 Bi 3.34
6 Th 0.7500 0.2668 0.3883  4 Bi 3.29-3.46, 2 Th 3.63
7 Bi 0.2500 0.2429 0.6455  8 Th 3.29-3.46
8 Bi 0.7500 0.7571 0.3545  8 Th 3.29-3.46

Properties
Crystal system: monoclinic
Calculated formation energy in eV/atom: -0.169


[10]
VASP calculation (PBE) on a geometry-optimized CaBRhO5 structure.

Unit cell a=5.3265 b=5.3265 c=6.9513 alpha=104.48 beta=104.48 gamma=106.92
Last column: nearest neighbours and their distance in Å.
Element x y z (fractional)
1 Ca 0.6533 0.3467 0.7500  5 O 2.25-2.34
2 Ca 0.3467 0.6533 0.2500  5 O 2.25-2.34
3 O 0.4094 0.2484 0.0908  1 B 1.53
4 O 0.6767 0.1098 0.3661  1 B 1.47
5 O 0.7516 0.5906 0.4092  1 B 1.53
6 O 0.0840 0.9160 0.2500  2 Rh 1.88
7 O 0.8902 0.3233 0.1339  1 B 1.47
8 O 0.9160 0.0840 0.7500  2 Rh 1.88
9 O 0.2484 0.4094 0.5908  1 B 1.53
10 O 0.1098 0.6767 0.8661  1 B 1.47
11 O 0.3233 0.8902 0.6339  1 B 1.47
12 O 0.5906 0.7516 0.9092  1 B 1.53
13 Rh 0.0000 0.0000 0.5000  6 O 1.88-2.06
14 Rh 0.0000 0.0000 0.0000  6 O 1.88-2.06
15 B 0.6937 0.3063 0.2500  4 O 1.47-1.53
16 B 0.3063 0.6937 0.7500  4 O 1.47-1.53

Properties
Crystal system: monoclinic
Formation energy from raw total energies in eV per atom: -1.7635


[11]
VASP calculation (PBE) on a geometry-optimized Cd2In4Co structure.

Unit cell a=4.9781 b=4.9781 c=8.3188 alpha=72.59 beta=72.59 gamma=90.00
Last column: nearest neighbours and their distance in Å.
Element x y z (fractional)
1 In 0.1663 0.1663 0.6675  1 Co 2.51
2 In 0.5000 0.0000 0.0000  2 Co 2.49
3 In 0.0000 0.5000 0.0000  2 Co 2.49
4 In 0.8337 0.8337 0.3325  1 Co 2.51
5 Co 0.0000 0.0000 0.0000  6 In 2.49-2.51
6 Cd 0.6437 0.6437 0.7127  1 In 2.87
7 Cd 0.3563 0.3563 0.2873  1 In 2.87

Properties
Crystal system: tetragonal
Calculated formation energy in eV/atom: 0.169


[12]
VASP calculation (PBE) on a geometry-optimized Ba2CdTcF structure.

Unit cell a=6.2380 b=4.2244 c=6.2380 alpha=90.00 beta=90.00 gamma=90.00
Last column: nearest neighbours and their distance in Å.
Element x y z (fractional)
1 Ba 0.0000 0.0000 0.5000  2 Tc 3.12
2 Ba 0.5000 0.0000 0.0000  2 Tc 3.12
3 Tc 0.0000 0.0000 0.0000  2 F 2.11
4 F 0.0000 0.5000 0.0000  2 Tc 2.11
5 Cd 0.5000 0.5000 0.5000  8 Ba 3.77

Properties
Crystal system: tetragonal
Formation energy from raw total energies in eV per atom: -0.1363


| no. | total magnetization (μB per formula unit) |
| --- | --- |
| 1 | 0.0 |
| 2 | 0.0 |
| 3 | 1.8 |
| 4 | 4.4 |
| 5 | 0.0 |
| 6 | 0.0 |
| 7 | 0.0 |
| 8 | 0.0 |
| 9 | 0.0 |
| 10 | 0.1 |
| 11 | 0.0 |
| 12 | 1.7 |